Crystalline NdTm2In at its relaxed geometry, computed with GGA-PBE.

Properties
V = 114.3 Å³/f.u.
SG = Fm-3m (225)
energy of formation from the pure elements = -0.07 eV per atom
distance to the lowest polymorph of the same formula = 0.184 eV/atom
calculated total energy = -66.95 eV/cell

a = 7.7045 Å, b = 7.7045 Å, c = 7.7045 Å
α = 90.00°, β = 90.00°, γ = 90.00°
Fractional coordinates of all 16 atoms:
Nd  0.0000  0.0000  0.0000
Nd  0.0000  0.5000  0.5000
Nd  0.5000  0.0000  0.5000
Nd  0.5000  0.5000  0.0000
Tm  0.2500  0.2500  0.2500
Tm  0.2500  0.2500  0.7500
Tm  0.2500  0.7500  0.2500
Tm  0.2500  0.7500  0.7500
Tm  0.7500  0.2500  0.2500
Tm  0.7500  0.2500  0.7500
Tm  0.7500  0.7500  0.2500
Tm  0.7500  0.7500  0.7500
In  0.0000  0.0000  0.5000
In  0.0000  0.5000  0.0000
In  0.5000  0.0000  0.0000
In  0.5000  0.5000  0.5000

Crystalline SrTlSi3 at its relaxed geometry, computed with GGA-PBE.

Properties
energy relative to the elements, uncorrected = 1.411 eV/atom
V = 177.2 Å³/f.u.
SG = Pm-3m (221)
distance to the lowest polymorph of the same formula = 0.570 eV/atom
calculated total energy = -13.26 eV/cell

a = 5.6169 Å, b = 5.6169 Å, c = 5.6169 Å
α = 90.00°, β = 90.00°, γ = 90.00°
Fractional coordinates of all 5 atoms:
Sr  0.0000  0.0000  0.0000
Tl  0.5000  0.5000  0.5000
Si  0.0000  0.0000  0.5000
Si  0.0000  0.5000  0.0000
Si  0.5000  0.0000  0.0000